No. 1
The following is a PBE calculation of crystalline Tb3BiP2 at its relaxed geometry, from Alexandria.

N(E_F) = 2.80 states/eV/f.u.
total DFT energy (no corrections) = -137.78 eV per cell

```
data_Tb3BiP2
_chemical_formula_sum 'Tb12 Bi4 P8'
_space_group_name_H-M_alt 'C m c m'
_space_group_IT_number 63
_space_group_name_Hall '-C 2c 2'
_cell_length_a 4.9846
_cell_length_b 12.5517
_cell_length_c 9.8464
_cell_angle_alpha 90.00
_cell_angle_beta 90.00
_cell_angle_gamma 90.00
loop_
_atom_site_label
_atom_site_type_symbol
_atom_site_fract_x
_atom_site_fract_y
_atom_site_fract_z
Tb1 Tb 0.0000 0.0932 0.2500
Tb2 Tb 0.0000 0.3766 0.0482
Bi1 Bi 0.0000 0.2204 0.7500
P1 P 0.0000 0.0000 0.0000
P2 P 0.0000 0.4713 0.7500
```

---

No. 2
The following is a PBE calculation of crystalline BaMgBe2 at its relaxed geometry, from Alexandria.

N(E_F) = 3.12 states/eV/f.u.
excess energy over the best structure of this formula in the dataset = 215 meV/atom

```
data_BaMgBe2
_chemical_formula_sum 'Ba1 Mg1 Be2'
_space_group_name_H-M_alt 'P m m m'
_space_group_IT_number 47
_space_group_name_Hall '-P 2 2'
_cell_length_a 3.4596
_cell_length_b 3.5202
_cell_length_c 7.2215
_cell_angle_alpha 90.00
_cell_angle_beta 90.00
_cell_angle_gamma 90.00
loop_
_atom_site_label
_atom_site_type_symbol
_atom_site_fract_x
_atom_site_fract_y
_atom_site_fract_z
Ba1 Ba 0.0000 0.0000 0.0000
Mg1 Mg 0.0000 0.0000 0.5000
Be1 Be 0.5000 0.5000 0.3467
```

---

No. 3
The following is a PBE calculation of crystalline NaCdS2O8 at its relaxed geometry, from Alexandria.

N(E_F) = 9.56 states/eV/f.u.
raw formation energy = -127.80 kJ/mol of atoms

```
data_NaCdS2O8
_chemical_formula_sum 'Na1 Cd1 S2 O8'
_space_group_name_H-M_alt 'P -3'
_space_group_IT_number 147
_space_group_name_Hall '-P 3'
_cell_length_a 5.1947
_cell_length_b 5.1947
_cell_length_c 7.5227
_cell_angle_alpha 90.00
_cell_angle_beta 90.00
_cell_angle_gamma 120.00
loop_
_atom_site_label
_atom_site_type_symbol
_atom_site_fract_x
_atom_site_fract_y
_atom_site_fract_z
Na1 Na 0.0000 0.0000 0.0000
Cd1 Cd 0.0000 0.0000 0.5000
S1 S 0.3333 0.6667 0.7636
O1 O 0.1015 0.3664 0.7028
O2 O 0.3333 0.6667 0.9612
```

---

No. 4
The following is a PBE calculation of crystalline AlCrReIr at its relaxed geometry, from Alexandria.

N(E_F) = 4.24 states/eV/f.u.
total DFT energy (no corrections) = -143.07 eV per cell

```
data_AlCrReIr
_chemical_formula_sum 'Al4 Cr4 Re4 Ir4'
_space_group_name_H-M_alt 'F -4 3 m'
_space_group_IT_number 216
_space_group_name_Hall 'F -4 2 3'
_cell_length_a 6.0371
_cell_length_b 6.0371
_cell_length_c 6.0371
_cell_angle_alpha 90.00
_cell_angle_beta 90.00
_cell_angle_gamma 90.00
loop_
_atom_site_label
_atom_site_type_symbol
_atom_site_fract_x
_atom_site_fract_y
_atom_site_fract_z
Al1 Al 0.0000 0.0000 0.0000
Cr1 Cr 0.0000 0.0000 0.5000
Re1 Re 0.2500 0.2500 0.7500
Ir1 Ir 0.2500 0.2500 0.2500
```

---

No. 5
The following is a PBE calculation of crystalline LaZnAsN at its relaxed geometry, from Alexandria.

N(E_F) = 2.51 states/eV/f.u.
excess energy over the best structure of this formula in the dataset = 48 meV/atom
raw formation energy = -66.36 kJ/mol of atoms

```
data_LaZnAsN
_chemical_formula_sum 'La1 Zn1 As1 N1'
_space_group_name_H-M_alt 'P 3 m 1'
_space_group_IT_number 156
_space_group_name_Hall 'P 3 -2"'
_cell_length_a 3.9163
_cell_length_b 3.9163
_cell_length_c 6.4136
_cell_angle_alpha 90.00
_cell_angle_beta 90.00
_cell_angle_gamma 120.00
loop_
_atom_site_label
_atom_site_type_symbol
_atom_site_fract_x
_atom_site_fract_y
_atom_site_fract_z
La1 La 0.0000 0.0000 0.0000
Zn1 Zn 0.3333 0.6667 0.4173
As1 As 0.6667 0.3333 0.6084
N1 N 0.3333 0.6667 0.1124
```

---

No. 6
The following is a PBE calculation of crystalline Ho7TlHg4 at its relaxed geometry, from Alexandria.

N(E_F) = 12.57 states/eV/f.u.
total DFT energy (no corrections) = -76.03 eV per cell

```
data_Ho7TlHg4
_chemical_formula_sum 'Ho14 Tl2 Hg8'
_space_group_name_H-M_alt 'C 1 2/m 1'
_space_group_IT_number 12
_space_group_name_Hall '-C 2y'
_cell_length_a 14.8423
_cell_length_b 5.7830
_cell_length_c 9.5078
_cell_angle_alpha 90.00
_cell_angle_beta 125.02
_cell_angle_gamma 90.00
loop_
_atom_site_label
_atom_site_type_symbol
_atom_site_fract_x
_atom_site_fract_y
_atom_site_fract_z
Ho1 Ho 0.0000 0.0000 0.0000
Ho2 Ho 0.0580 0.5000 0.3834
Ho3 Ho 0.2256 0.5000 0.9018
Ho4 Ho 0.2346 0.0000 0.6944
Tl1 Tl 0.0000 0.5000 0.0000
Hg1 Hg 0.0414 0.0000 0.7085
Hg2 Hg 0.1974 0.0000 0.3513
```

---

No. 7
The following is a PBE calculation of crystalline LiYTmMn at its relaxed geometry, from Alexandria.

N(E_F) = 3.91 states/eV/f.u.
total DFT energy (no corrections) = -86.22 eV per cell

```
data_LiYTmMn
_chemical_formula_sum 'Li4 Y4 Tm4 Mn4'
_space_group_name_H-M_alt 'F -4 3 m'
_space_group_IT_number 216
_space_group_name_Hall 'F -4 2 3'
_cell_length_a 7.0750
_cell_length_b 7.0750
_cell_length_c 7.0750
_cell_angle_alpha 90.00
_cell_angle_beta 90.00
_cell_angle_gamma 90.00
loop_
_atom_site_label
_atom_site_type_symbol
_atom_site_fract_x
_atom_site_fract_y
_atom_site_fract_z
Li1 Li 0.0000 0.0000 0.0000
Y1 Y 0.2500 0.2500 0.7500
Tm1 Tm 0.2500 0.2500 0.2500
Mn1 Mn 0.0000 0.0000 0.5000
```

---

No. 8
The following is a PBE calculation of crystalline Li5CaPd2 at its relaxed geometry, from Alexandria.

N(E_F) = 3.37 states/eV/f.u.
total DFT energy (no corrections) = -48.77 eV per cell

```
data_Li5CaPd2
_chemical_formula_sum 'Li10 Ca2 Pd4'
_space_group_name_H-M_alt 'I m m m'
_space_group_IT_number 71
_space_group_name_Hall '-I 2 2'
_cell_length_a 4.0220
_cell_length_b 8.0022
_cell_length_c 9.5606
_cell_angle_alpha 90.00
_cell_angle_beta 90.00
_cell_angle_gamma 90.00
loop_
_atom_site_label
_atom_site_type_symbol
_atom_site_fract_x
_atom_site_fract_y
_atom_site_fract_z
Li1 Li 0.0000 0.0000 0.0000
Li2 Li 0.0000 0.3194 0.3326
Ca1 Ca 0.0000 0.5000 0.0000
Pd1 Pd 0.0000 0.0000 0.2692
```

---

No. 9
The following is a PBE calculation of crystalline TaInP2Pb at its relaxed geometry, from Alexandria.

N(E_F) = 4.88 states/eV/f.u.
total DFT energy (no corrections) = -20.57 eV per cell

```
data_TaInP2Pb
_chemical_formula_sum 'Ta1 In1 P2 Pb1'
_space_group_name_H-M_alt 'P 4/m m m'
_space_group_IT_number 123
_space_group_name_Hall '-P 4 2'
_cell_length_a 5.1770
_cell_length_b 5.1770
_cell_length_c 5.4476
_cell_angle_alpha 90.00
_cell_angle_beta 90.00
_cell_angle_gamma 90.00
loop_
_atom_site_label
_atom_site_type_symbol
_atom_site_fract_x
_atom_site_fract_y
_atom_site_fract_z
Ta1 Ta 0.0000 0.0000 0.0000
In1 In 0.5000 0.5000 0.0000
P1 P 0.0000 0.5000 0.5000
Pb1 Pb 0.0000 0.0000 0.5000
```

---

No. 10
The following is a PBE calculation of crystalline Ga4BiW2 at its relaxed geometry, from Alexandria.

N(E_F) = 5.61 states/eV/f.u.
total DFT energy (no corrections) = -66.30 eV per cell

```
data_Ga4BiW2
_chemical_formula_sum 'Ga8 Bi2 W4'
_space_group_name_H-M_alt 'I 4/m m m'
_space_group_IT_number 139
_space_group_name_Hall '-I 4 2'
_cell_length_a 5.3024
_cell_length_b 5.3024
_cell_length_c 13.4249
_cell_angle_alpha 90.00
_cell_angle_beta 90.00
_cell_angle_gamma 90.00
loop_
_atom_site_label
_atom_site_type_symbol
_atom_site_fract_x
_atom_site_fract_y
_atom_site_fract_z
Ga1 Ga 0.0000 0.0000 0.2145
Ga2 Ga 0.0000 0.5000 0.0000
Bi1 Bi 0.0000 0.0000 0.0000
W1 W 0.0000 0.0000 0.4153
```

---

No. 11
The following is a PBE calculation of crystalline TcNiI3 at its relaxed geometry, from Alexandria.

N(E_F) = 5.07 states/eV/f.u.
excess energy over the best structure of this formula in the dataset = 0 meV/atom
raw formation energy = 83.97 kJ/mol of atoms

```
data_TcNiI3
_chemical_formula_sum 'Tc1 Ni1 I3'
_space_group_name_H-M_alt 'P m -3 m'
_space_group_IT_number 221
_space_group_name_Hall '-P 4 2 3'
_cell_length_a 5.2923
_cell_length_b 5.2923
_cell_length_c 5.2923
_cell_angle_alpha 90.00
_cell_angle_beta 90.00
_cell_angle_gamma 90.00
loop_
_atom_site_label
_atom_site_type_symbol
_atom_site_fract_x
_atom_site_fract_y
_atom_site_fract_z
Tc1 Tc 0.0000 0.0000 0.0000
Ni1 Ni 0.5000 0.5000 0.5000
I1 I 0.0000 0.5000 0.5000
```

---

No. 12
The following is a PBE calculation of crystalline CeBe2TeO8 at its relaxed geometry, from Alexandria.

N(E_F) = 5.75 states/eV/f.u.
raw formation energy = -162.25 kJ/mol of atoms

```
data_CeBe2TeO8
_chemical_formula_sum 'Ce1 Be2 Te1 O8'
_space_group_name_H-M_alt 'P -3 m 1'
_space_group_IT_number 164
_space_group_name_Hall '-P 3 2"'
_cell_length_a 5.1830
_cell_length_b 5.1830
_cell_length_c 6.4382
_cell_angle_alpha 90.00
_cell_angle_beta 90.00
_cell_angle_gamma 120.00
loop_
_atom_site_label
_atom_site_type_symbol
_atom_site_fract_x
_atom_site_fract_y
_atom_site_fract_z
Ce1 Ce 0.0000 0.0000 0.0000
Be1 Be 0.3333 0.6667 0.2448
Te1 Te 0.0000 0.0000 0.5000
O1 O 0.1606 0.3212 0.3018
O2 O 0.3333 0.6667 0.9921
```